Material: DyAgPbS3
Method: DFT, PBE-GGA
State: optimized geometry

Calculated values
Relative energy among the computed polymorphs   0.022 eV/f.u.

Cell lengths 13.3242, 4.0661, 10.9638 Å; angles 90.00, 90.00, 90.00 degrees
Space group Pnma (No. 62)
One atom of each set of equivalent atoms:
Dy 0.0128 0.2500 0.1612 [4 per cell]
Ag 0.0216 0.7500 0.4117 [4 per cell]
Pb 0.2416 0.2500 0.5248 [4 per cell]
S 0.1055 0.7500 0.6305 [4 per cell]
S 0.1068 0.2500 0.9382 [4 per cell]
S 0.1383 0.7500 0.2309 [4 per cell]